! BaNa2InBi2 GGA-PBE relaxed; values from VASP
&SYSTEM
  ibrav = 0, nat = 12, ntyp = 4
/
ATOMIC_SPECIES
Ba 137.33 Ba.upf
Na 22.99 Na.upf
In 114.82 In.upf
Bi 208.98 Bi.upf
ATOMIC_POSITIONS crystal
Ba 0.000 0.062 0.000
Ba 0.000 0.938 0.500
Na 0.000 0.330 0.377
Na 0.000 0.670 0.877
Na 0.500 0.427 0.056
Na 0.500 0.573 0.556
In 0.500 0.192 0.653
In 0.500 0.808 0.153
Bi 0.000 0.354 0.746
Bi 0.000 0.646 0.246
Bi 0.500 0.124 0.285
Bi 0.500 0.876 0.785
CELL_PARAMETERS angstrom
5.080 0.000 0.000
0.000 9.402 0.000
0.000 0.000 8.929
! - E: -2.99 eV/atom
! - ρ: 5.58 g/cm3
! - Crystal system: orthorhombic
! - Space-group type: No. 26
! - DOS(E_F): 0.320 states/eV per atom



! BaNaIn2Bi2 GGA-PBE relaxed; values from VASP
&SYSTEM
  ibrav = 0, nat = 6, ntyp = 4
/
ATOMIC_SPECIES
Ba 137.33 Ba.upf
Na 22.99 Na.upf
In 114.82 In.upf
Bi 208.98 Bi.upf
ATOMIC_POSITIONS crystal
Ba 0.000 0.000 0.000
Na 0.000 0.000 0.500
In 0.333 0.667 0.679
In 0.667 0.333 0.321
Bi 0.333 0.667 0.267
Bi 0.667 0.333 0.733
CELL_PARAMETERS angstrom
5.499 0.000 0.000
-2.750 4.762 0.000
0.000 0.000 7.758
! - E: -3.15 eV/atom
! - ρ: 6.60 g/cm3
! - Crystal system: trigonal
! - Space-group type: No. 164
! - DOS(E_F): 0.157 states/eV per atom



! BaIn2NiBi GGA-PBE relaxed; values from VASP
&SYSTEM
  ibrav = 0, nat = 5, ntyp = 4
/
ATOMIC_SPECIES
Ba 137.33 Ba.upf
In 114.82 In.upf
Ni 58.69 Ni.upf
Bi 208.98 Bi.upf
ATOMIC_POSITIONS crystal
Ba 0.000 0.000 0.000
In 0.000 0.500 0.500
In 0.500 0.000 0.500
Ni 0.500 0.500 0.500
Bi 0.500 0.500 0.000
CELL_PARAMETERS angstrom
5.060 0.000 0.000
0.000 5.060 0.000
0.000 0.000 5.674
! - E: -3.68 eV/atom
! - ρ: 7.25 g/cm3
! - Crystal system: tetragonal
! - Space-group type: No. 123
! - DOS(E_F): 0.624 states/eV per atom



! Ba4InBi3O12 GGA-PBE relaxed; values from VASP
&SYSTEM
  ibrav = 0, nat = 20, ntyp = 4
/
ATOMIC_SPECIES
Ba 137.33 Ba.upf
In 114.82 In.upf
Bi 208.98 Bi.upf
O 16.00 O.upf
ATOMIC_POSITIONS crystal
Ba 0.000 0.000 0.500
Ba 0.000 0.500 0.000
Ba 0.500 0.000 0.000
Ba 0.500 0.500 0.500
In 0.000 0.000 0.000
Bi 0.000 0.500 0.500
Bi 0.500 0.000 0.500
Bi 0.500 0.500 0.000
O 0.000 0.250 0.250
O 0.000 0.750 0.750
O 0.250 0.000 0.250
O 0.250 0.250 0.000
O 0.250 0.500 0.750
O 0.250 0.750 0.500
O 0.500 0.250 0.750
O 0.500 0.750 0.250
O 0.750 0.000 0.750
O 0.750 0.250 0.500
O 0.750 0.500 0.250
O 0.750 0.750 0.000
CELL_PARAMETERS angstrom
-4.363 4.363 4.363
4.363 -4.363 4.363
4.363 4.363 -4.363
! - E: -5.91 eV/atom
! - ρ: 7.41 g/cm3
! - Crystal system: cubic
! - Space-group type: No. 229
! - DOS(E_F): 0.101 states/eV per atom



! BaIn2Bi2O7 GGA-PBE relaxed; values from VASP
&SYSTEM
  ibrav = 0, nat = 12, ntyp = 4
/
ATOMIC_SPECIES
Ba 137.33 Ba.upf
In 114.82 In.upf
Bi 208.98 Bi.upf
O 16.00 O.upf
ATOMIC_POSITIONS crystal
Ba 0.000 0.000 0.000
In 0.405 0.015 0.390
In 0.625 0.015 0.610
Bi 0.204 0.484 0.720
Bi 0.764 0.484 0.280
O 0.086 0.687 0.399
O 0.288 0.687 0.601
O 0.336 0.086 0.250
O 0.449 0.592 0.857
O 0.704 0.204 0.500
O 0.735 0.592 0.143
O 0.836 0.086 0.750
CELL_PARAMETERS angstrom
-2.118 7.860 3.173
2.118 -7.860 3.173
2.118 7.860 -3.173
! - E: -5.68 eV/atom
! - ρ: 7.05 g/cm3
! - Crystal system: orthorhombic
! - Space-group type: No. 44
! - DOS(E_F): 0.000 states/eV per atom



! Ba3In2BiO8 GGA-PBE relaxed; values from VASP
&SYSTEM
  ibrav = 0, nat = 14, ntyp = 4
/
ATOMIC_SPECIES
Ba 137.33 Ba.upf
In 114.82 In.upf
Bi 208.98 Bi.upf
O 16.00 O.upf
ATOMIC_POSITIONS crystal
Ba 0.000 0.000 0.000
Ba 0.333 0.667 0.635
Ba 0.667 0.333 0.365
In 0.333 0.667 0.194
In 0.667 0.333 0.806
Bi 0.000 0.000 0.500
O 0.164 0.328 0.327
O 0.164 0.836 0.327
O 0.328 0.164 0.673
O 0.333 0.667 0.943
O 0.667 0.333 0.057
O 0.672 0.836 0.327
O 0.836 0.164 0.673
O 0.836 0.672 0.673
CELL_PARAMETERS angstrom
6.200 0.000 0.000
-3.100 5.370 0.000
0.000 0.000 7.869
! - E: -5.73 eV/atom
! - ρ: 6.20 g/cm3
! - Crystal system: trigonal
! - Space-group type: No. 164
! - DOS(E_F): 0.213 states/eV per atom



! BaInBiO4 GGA-PBE relaxed; values from VASP
&SYSTEM
  ibrav = 0, nat = 14, ntyp = 4
/
ATOMIC_SPECIES
Ba 137.33 Ba.upf
In 114.82 In.upf
Bi 208.98 Bi.upf
O 16.00 O.upf
ATOMIC_POSITIONS crystal
Ba 0.225 0.250 0.484
Ba 0.775 0.750 0.516
In 0.204 0.750 0.194
In 0.796 0.250 0.806
Bi 0.323 0.250 0.045
Bi 0.677 0.750 0.955
O 0.011 0.250 0.686
O 0.040 0.250 0.093
O 0.435 0.505 0.261
O 0.435 0.995 0.261
O 0.565 0.005 0.739
O 0.565 0.495 0.739
O 0.960 0.750 0.907
O 0.989 0.750 0.314
CELL_PARAMETERS angstrom
6.875 0.000 0.000
0.000 6.251 0.000
-3.333 0.000 6.837
! - E: -5.73 eV/atom
! - ρ: 5.93 g/cm3
! - Crystal system: monoclinic
! - Space-group type: No. 11
! - DOS(E_F): 0.000 states/eV per atom



! Ba2InBiO5 GGA-PBE relaxed; values from VASP
&SYSTEM
  ibrav = 0, nat = 18, ntyp = 4
/
ATOMIC_SPECIES
Ba 137.33 Ba.upf
In 114.82 In.upf
Bi 208.98 Bi.upf
O 16.00 O.upf
ATOMIC_POSITIONS crystal
Ba 0.114 0.886 0.500
Ba 0.137 0.863 0.114
Ba 0.863 0.137 0.614
Ba 0.886 0.114 0.000
In 0.223 0.777 0.837
In 0.777 0.223 0.337
Bi 0.456 0.544 0.281
Bi 0.544 0.456 0.781
O 0.088 0.912 0.872
O 0.276 0.724 0.466
O 0.326 0.674 0.210
O 0.352 0.648 0.804
O 0.496 0.504 0.091
O 0.504 0.496 0.591
O 0.648 0.352 0.304
O 0.674 0.326 0.710
O 0.724 0.276 0.966
O 0.912 0.088 0.372
CELL_PARAMETERS angstrom
1.858 -7.908 0.000
1.858 7.908 0.000
0.000 0.000 11.154
! - E: -5.79 eV/atom
! - ρ: 6.87 g/cm3
! - Crystal system: orthorhombic
! - Space-group type: No. 36
! - DOS(E_F): 0.000 states/eV per atom